Below is crystalline Pr3Tl2Zn2 at its relaxed geometry, with properties calculated at the PBE level.

Cell lengths 11.364, 11.364, 3.729 Å; angles 90.00, 90.00, 157.01 degrees
Element x y z (fractional)
Pr 0.000 0.000 0.000
Pr 0.165 0.835 0.000
Pr 0.835 0.165 0.000
Tl 0.418 0.582 0.500
Tl 0.582 0.418 0.500
Zn 0.280 0.720 0.500
Zn 0.720 0.280 0.500

Calculated values
ΔH_f (0 K), eV/atom: -0.35
Total energy, eV/atom: -3.441
Magnetic moment, μB/f.u.: 0.092